Entry 1:
DFT (PBE) results for an optimized crystal structure of TaIn2Co.

Structure (extended XYZ):
```
4
Lattice="0.000 3.279 3.279 3.279 0.000 3.279 3.279 3.279 0.000" Properties=species:S:1:pos:R:3 pbc="T T T"
Co 1.640 1.640 1.640
In 0.000 0.000 0.000
In 4.919 4.919 4.919
Ta 3.279 3.279 3.279
```

## Properties
Electronic total energy ... -22.5 eV/cell
SG ... F-43m, No. 216
Crystal system ... cubic

***

Entry 2:
DFT (PBE) results for an optimized crystal structure of TaInCoTc.

Structure (extended XYZ):
```
4
Lattice="0.840 -2.864 -3.303 1.421 -4.115 0.929 -2.689 -3.485 -0.661" Properties=species:S:1:pos:R:3 pbc="T T T"
Co -0.322 -7.848 -2.276
In 0.000 0.000 0.000
Ta -0.214 -5.232 -1.518
Tc -0.107 -2.616 -0.759
```

## Properties
Electronic total energy ... -32.3 eV/cell
SG ... F-43m, No. 216
Crystal system ... cubic

***

Entry 3:
DFT (PBE) results for an optimized crystal structure of TaInCoTc.

Structure (extended XYZ):
```
4
Lattice="-2.141 -3.849 0.988 -4.384 0.067 1.072 -3.050 -1.686 -2.867" Properties=species:S:1:pos:R:3 pbc="T T T"
Co -7.181 -4.101 -0.605
In 0.000 0.000 0.000
Ta -2.394 -1.367 -0.202
Tc -4.787 -2.734 -0.404
```

## Properties
Electronic total energy ... -30.6 eV/cell
SG ... F-43m, No. 216
Crystal system ... cubic

***

Entry 4:
DFT (PBE) results for an optimized crystal structure of YTaInCo.

Structure (extended XYZ):
```
4
Lattice="0.000 3.372 3.372 3.372 0.000 3.372 3.372 3.372 0.000" Properties=species:S:1:pos:R:3 pbc="T T T"
Co 5.057 5.057 5.057
In 0.000 0.000 0.000
Ta 3.372 3.372 3.372
Y 1.686 1.686 1.686
```

## Properties
Electronic total energy ... -26.4 eV/cell
SG ... F-43m, No. 216
Crystal system ... cubic

***

Entry 5:
DFT (PBE) results for an optimized crystal structure of TbIn5Co.

Structure (extended XYZ):
```
7
Lattice="-1.202 -3.113 -2.847 4.179 -0.474 -1.245 1.151 -6.105 6.189" Properties=species:S:1:pos:R:3 pbc="T T T"
Co 0.575 -3.052 3.094
In -0.296 -3.175 0.217
In 2.395 -1.855 1.018
In 2.064 -4.846 1.048
In 0.245 -6.043 3.124
In 2.935 -4.724 3.926
Tb 0.000 0.000 0.000
```

## Properties
Electronic total energy ... -25.0 eV/cell
SG ... P4/mmm, No. 123
Crystal system ... tetragonal

***

Entry 6:
DFT (PBE) results for an optimized crystal structure of TbY2In3Co3.

Structure (extended XYZ):
```
9
Lattice="-2.236 1.098 2.930 -0.132 -6.911 2.490 5.251 4.604 2.282" Properties=species:S:1:pos:R:3 pbc="T T T"
Co 0.555 -2.511 3.889
Co 2.336 1.298 3.821
Co 5.115 -2.305 4.768
In -1.212 -4.602 3.324
In 0.177 -0.035 2.673
In 2.799 3.978 3.170
Tb 3.022 -1.362 2.817
Y -0.053 -2.825 1.018
Y 2.147 1.881 0.933
```

## Properties
Electronic total energy ... -49.7 eV/cell
SG ... Amm2, No. 38
Crystal system ... orthorhombic

***

Entry 7:
DFT (PBE) results for an optimized crystal structure of In2CoTe.

Structure (extended XYZ):
```
4
Lattice="-4.288 -1.637 1.939 -4.232 0.428 -2.595 -2.193 -4.062 -1.877" Properties=species:S:1:pos:R:3 pbc="T T T"
Co -2.678 -1.318 -0.633
In 0.000 0.000 0.000
In -8.035 -3.954 -1.899
Te -5.356 -2.636 -1.266
```

## Properties
Electronic total energy ... -13.9 eV/cell
SG ... F-43m, No. 216
Crystal system ... cubic

***

Entry 8:
DFT (PBE) results for an optimized crystal structure of TmInCoTe3.

Structure (extended XYZ):
```
24
Lattice="-0.630 2.872 -2.790 -0.765 -8.670 -8.754 -12.566 -0.862 1.952" Properties=species:S:1:pos:R:3 pbc="T T T"
Co -3.529 -6.792 -7.669
Co -4.295 -1.078 -4.557
Co -9.667 -5.581 -5.034
Co -10.433 0.133 -1.923
In -3.619 -6.614 -10.409
In -4.431 -3.819 -4.403
In -9.531 -2.841 -5.188
In -10.343 -0.046 0.818
Te -1.041 -6.790 -8.229
Te -2.132 -1.777 -5.765
Te -3.265 -1.404 -2.180
Te -4.370 -4.331 -7.889
Te -5.843 -7.798 -8.181
Te -6.813 -1.420 -4.339
Te -7.149 -5.240 -5.252
Te -8.119 1.139 -1.410
Te -9.592 -2.329 -1.702
Te -10.697 -5.255 -7.411
Te -11.830 -4.882 -3.826
Te -12.921 0.131 -1.363
Tm -1.349 -3.827 -8.053
Tm -6.234 -1.312 -1.414
Tm -7.728 -5.347 -8.177
Tm -12.613 -2.832 -1.538
```

## Properties
Electronic total energy ... -107.4 eV/cell
SG ... Pnma, No. 62
Crystal system ... orthorhombic

***

Entry 9:
DFT (PBE) results for an optimized crystal structure of TmInCoTe3.

Structure (extended XYZ):
```
12
Lattice="2.044 -7.714 0.000 2.044 7.714 0.000 0.000 0.000 10.936" Properties=species:S:1:pos:R:3 pbc="T T T"
Co 2.044 -0.346 2.734
Co 2.044 0.346 8.202
In 2.044 3.903 2.734
In 2.044 -3.903 8.202
Te 2.044 -2.063 0.818
Te 2.044 -6.479 2.734
Te 2.044 -2.063 4.651
Te 2.044 2.063 6.286
Te 2.044 6.479 8.202
Te 2.044 2.063 10.119
Tm 0.000 0.000 0.000
Tm 0.000 0.000 5.468
```

## Properties
Electronic total energy ... -54.0 eV/cell
SG ... Cmcm, No. 63
Crystal system ... orthorhombic

***

Entry 10:
DFT (PBE) results for an optimized crystal structure of TmIn5Co.

Structure (extended XYZ):
```
7
Lattice="4.571 0.000 0.000 0.000 4.571 0.000 0.000 0.000 7.487" Properties=species:S:1:pos:R:3 pbc="T T T"
Co 0.000 0.000 3.744
In 2.285 2.285 0.000
In 2.285 0.000 2.287
In 0.000 2.285 2.287
In 2.285 0.000 5.200
In 0.000 2.285 5.200
Tm 0.000 0.000 0.000
```

## Properties
Electronic total energy ... -26.8 eV/cell
SG ... P4/mmm, No. 123
Crystal system ... tetragonal

***

Entry 11:
DFT (PBE) results for an optimized crystal structure of Tm8In3Co.

Structure (extended XYZ):
```
24
Lattice="10.222 0.000 0.000 -5.111 8.852 0.000 0.000 0.000 6.911" Properties=species:S:1:pos:R:3 pbc="T T T"
Co 0.000 5.901 1.442
Co 5.111 2.951 4.897
In 2.495 1.440 1.659
In 7.727 1.440 1.659
In 5.111 5.971 1.659
In 0.000 2.881 5.114
In -2.616 7.412 5.114
In 2.616 7.412 5.114
Tm 5.111 2.951 0.662
Tm 0.000 3.167 1.932
Tm -2.368 7.269 1.932
Tm 2.368 7.269 1.932
Tm 5.111 0.612 3.362
Tm 3.085 4.120 3.362
Tm 7.136 4.120 3.362
Tm 0.000 0.000 3.448
Tm 0.000 5.901 4.118
Tm 2.742 1.583 5.387
Tm 7.479 1.583 5.387
Tm 5.111 5.686 5.387
Tm -2.026 4.732 6.817
Tm 2.026 4.732 6.817
Tm 0.000 8.240 6.817
Tm 0.000 0.000 6.904
```

## Properties
Electronic total energy ... -110.8 eV/cell
SG ... P6_3mc, No. 186
Crystal system ... hexagonal

***

Entry 12:
DFT (PBE) results for an optimized crystal structure of TmInCo.

Structure (extended XYZ):
```
3
Lattice="0.000 3.317 3.317 3.317 0.000 3.317 3.317 3.317 0.000" Properties=species:S:1:pos:R:3 pbc="T T T"
Co 1.658 1.658 1.658
In 4.975 4.975 4.975
Tm 0.000 0.000 0.000
```

## Properties
Electronic total energy ... -12.6 eV/cell
SG ... F-43m, No. 216
Crystal system ... cubic

***

Entry 13:
DFT (PBE) results for an optimized crystal structure of TmInCo.

Structure (extended XYZ):
```
3
Lattice="0.000 3.261 3.261 3.261 0.000 3.261 3.261 3.261 0.000" Properties=species:S:1:pos:R:3 pbc="T T T"
Co 1.631 1.631 1.631
In 0.000 0.000 0.000
Tm 4.892 4.892 4.892
```

## Properties
Electronic total energy ... -13.2 eV/cell
SG ... F-43m, No. 216
Crystal system ... cubic

***

Entry 14:
DFT (PBE) results for an optimized crystal structure of YTmIn4Co2.

Structure (extended XYZ):
```
8
Lattice="-0.519 6.666 3.507 4.269 -1.386 3.267 5.514 0.581 -0.288" Properties=species:S:1:pos:R:3 pbc="T T T"
Co 2.780 -0.229 0.847
Co 6.747 2.756 3.887
In 1.267 1.877 1.482
In 1.059 4.555 2.891
In 8.255 0.636 3.242
In 7.942 4.654 5.356
Tm 5.540 -0.456 1.687
Y 3.984 2.984 3.046
```

## Properties
Electronic total energy ... -38.4 eV/cell
SG ... Amm2, No. 38
Crystal system ... orthorhombic

***

Entry 15:
DFT (PBE) results for an optimized crystal structure of YTmInCo2.

Structure (extended XYZ):
```
5
Lattice="-2.340 0.133 -3.083 -1.881 6.638 1.715 1.124 6.999 -0.551" Properties=species:S:1:pos:R:3 pbc="T T T"
Co -0.155 2.788 0.238
Co -0.600 10.801 0.922
In -0.001 0.020 0.002
Tm -1.655 8.806 -0.795
Y -1.444 4.992 -1.121
```

## Properties
Electronic total energy ... -29.6 eV/cell
SG ... Amm2, No. 38
Crystal system ... orthorhombic

***

Entry 16:
DFT (PBE) results for an optimized crystal structure of UInCo.

Structure (extended XYZ):
```
3
Lattice="-3.817 -2.348 -0.043 -2.747 0.123 3.539 -3.935 2.125 -0.290" Properties=species:S:1:pos:R:3 pbc="T T T"
Co 0.000 0.000 0.000
In -2.625 -0.025 0.801
U -7.874 -0.075 2.404
```

## Properties
Electronic total energy ... -20.6 eV/cell
SG ... F-43m, No. 216
Crystal system ... cubic

***

Entry 17:
DFT (PBE) results for an optimized crystal structure of UInCo.

Structure (extended XYZ):
```
3
Lattice="1.064 -4.296 1.477 -1.205 -1.354 4.300 -3.376 -3.167 0.589" Properties=species:S:1:pos:R:3 pbc="T T T"
Co 0.000 0.000 0.000
In -1.758 -4.409 3.183
U -0.879 -2.204 1.591
```

## Properties
Electronic total energy ... -17.9 eV/cell
SG ... F-43m, No. 216
Crystal system ... cubic

***

Entry 18:
DFT (PBE) results for an optimized crystal structure of In2CoW.

Structure (extended XYZ):
```
4
Lattice="0.000 3.268 3.268 3.268 0.000 3.268 3.268 3.268 0.000" Properties=species:S:1:pos:R:3 pbc="T T T"
Co 1.634 1.634 1.634
In 0.000 0.000 0.000
In 4.902 4.902 4.902
W 3.268 3.268 3.268
```

## Properties
Electronic total energy ... -22.4 eV/cell
SG ... F-43m, No. 216
Crystal system ... cubic

***

Entry 19:
DFT (PBE) results for an optimized crystal structure of YInCoW.

Structure (extended XYZ):
```
4
Lattice="0.000 3.337 3.337 3.337 0.000 3.337 3.337 3.337 0.000" Properties=species:S:1:pos:R:3 pbc="T T T"
Co 5.005 5.005 5.005
In 0.000 0.000 0.000
W 3.337 3.337 3.337
Y 1.668 1.668 1.668
```

## Properties
Electronic total energy ... -26.8 eV/cell
SG ... F-43m, No. 216
Crystal system ... cubic

***

Entry 20:
DFT (PBE) results for an optimized crystal structure of YInCoW.

Structure (extended XYZ):
```
4
Lattice="0.479 -4.077 -2.389 -3.213 -1.224 -3.277 1.160 0.068 -4.605" Properties=species:S:1:pos:R:3 pbc="T T T"
Co -1.181 -3.924 -7.703
In 0.000 0.000 0.000
W -0.394 -1.308 -2.568
Y -0.787 -2.616 -5.135
```

## Properties
Electronic total energy ... -27.0 eV/cell
SG ... F-43m, No. 216
Crystal system ... cubic